A geometry-optimized Tl2InSnTe4 structure. Source: Alexandria via LeMat-Bulk, functional GGA-PBE.

Cell lengths 7.3770, 7.1261, 7.1261 Å; angles 74.46, 58.83, 58.83 degrees
Last column: nearest neighbours and their distance in Å.
Fractional coordinates of all 8 atoms:
In 0.5000 0.0000 0.0000  4 Te 2.88
Te 0.9269 0.0000 0.6298  1 In 2.88, 1 Sn 2.95
Te 0.5567 0.0000 0.3702  1 In 2.88, 1 Sn 2.95
Te 0.4433 0.6298 0.0000  1 In 2.88, 1 Sn 2.95
Sn 0.0000 0.0000 0.0000  4 Te 2.95
Tl 0.0000 0.5000 0.5000  8 Te 3.62-3.68, 2 Tl 3.69
Te 0.0731 0.3702 0.0000  1 In 2.88, 1 Sn 2.95
Tl 0.5000 0.5000 0.5000  8 Te 3.62-3.68, 2 Tl 3.69

Output
Space-group type: No. 121
Uncorrected formation energy, meV per atom: -286
Fermi-level density of states, states/eV/cell: 3.74
DFT total energy, Ha/atom: -0.1210

A geometry-optimized Tl2InSnTe5 structure. Source: Alexandria via LeMat-Bulk, functional GGA-PBE.

Cell lengths 4.3214, 10.6352, 13.9755 Å; angles 90.00, 90.00, 101.72 degrees
Last column: nearest neighbours and their distance in Å.
Fractional coordinates of all 18 atoms:
Te 0.0718 0.1435 0.0601  2 In 2.81
Sn 0.7509 0.5018 0.5443  5 Te 2.90-3.11
Te 0.7537 0.5075 0.1973  2 Sn 3.04
Sn 0.2491 0.4982 0.0443  5 Te 2.90-3.11
Tl 0.1194 0.2388 0.2978  8 Te 3.41-3.80
In 0.5869 0.1738 0.9342  4 Te 2.78-2.88
Te 0.4887 0.9775 0.2705  1 In 2.78
Te 0.2463 0.4925 0.6973  2 Sn 3.04
Tl 0.0851 0.1702 0.6434  6 Te 3.15-3.47
Te 0.7217 0.4435 0.8898  1 In 2.88, 2 Sn 3.11
Te 0.2783 0.5565 0.3898  1 In 2.88, 2 Sn 3.11
Te 0.9282 0.8565 0.5601  2 In 2.81
Te 0.3831 0.7662 0.9866  1 Sn 2.90, 2 Tl 3.15
Tl 0.9149 0.8298 0.1434  6 Te 3.15-3.47
Tl 0.8806 0.7612 0.7978  8 Te 3.41-3.80
Te 0.5113 0.0225 0.7705  1 In 2.78
In 0.4131 0.8262 0.4342  4 Te 2.78-2.88
Te 0.6169 0.2338 0.4866  1 Sn 2.90, 2 Tl 3.15

Output
Space-group type: No. 36
Uncorrected formation energy, meV per atom: -206
Fermi-level density of states, states/eV/cell: 7.59
DFT total energy, Ha/atom: -0.1186

A geometry-optimized TmIn2SnTe4 structure. Source: Alexandria via LeMat-Bulk, functional GGA-PBE.

Cell lengths 4.4183, 7.9926, 7.8568 Å; angles 71.00, 90.00, 90.00 degrees
Last column: nearest neighbours and their distance in Å.
Fractional coordinates of all 8 atoms:
Te 0.5000 0.2719 0.7320  2 Tm 3.06, 1 Sn 3.20, 3 In 3.26-3.33
Te 0.0000 0.2613 0.2614  1 Tm 3.08, 2 Sn 3.19, 3 In 3.20-3.37
Te 0.0000 0.7387 0.7386  1 Tm 3.08, 2 Sn 3.19, 3 In 3.20-3.37
In 0.0000 0.0000 0.0000  6 Te 3.33-3.37
In 0.5000 0.0000 0.5000  6 Te 3.20-3.26
Sn 0.5000 0.5000 0.0000  6 Te 3.19-3.20
Te 0.5000 0.7281 0.2680  2 Tm 3.06, 1 Sn 3.20, 3 In 3.26-3.33
Tm 0.0000 0.5000 0.5000  6 Te 3.06-3.08

Output
Space-group type: No. 10
Uncorrected formation energy, meV per atom: -593
Fermi-level density of states, states/eV/cell: 3.77
DFT total energy, Ha/atom: -0.1436

A geometry-optimized InSn2TeW structure. Source: Alexandria via LeMat-Bulk, functional GGA-PBE.

Cell lengths 5.7575, 5.7575, 5.6382 Å; angles 90.00, 90.00, 90.00 degrees
Last column: nearest neighbours and their distance in Å.
Fractional coordinates of all 5 atoms:
Te 0.0000 0.0000 0.0000  2 In 2.82, 4 Sn 2.88
Sn 0.5000 0.0000 0.0000  2 Te 2.88
Sn 0.0000 0.5000 0.0000  2 Te 2.88
W 0.5000 0.5000 0.5000  8 Sn 4.03, 4 In 4.07
In 0.0000 0.0000 0.5000  2 Te 2.82

Output
Energy relative to the lowest polymorph listed for this composition, kJ/mol of formula units: 0
Space-group type: No. 123
Uncorrected formation energy, meV per atom: 1731
Fermi-level density of states, states/eV/cell: 4.04
DFT total energy, Ha/atom: -0.1336